1.
Compound: AcLa6Dy3
Source: Alexandria via LeMat-Bulk
Functional: PBE
Structure: optimized geometry

Geometry as POSCAR:
```
AcLa6Dy3
1.0
8.9720 0.0000 4.7611
3.2227 8.3732 4.7611
2.2037 1.5132 6.6813
La Dy Ac
6 3 1
Direct
0.7261 0.0741 0.7998
0.4000 0.7261 0.7998
0.0741 0.4000 0.7998
0.5619 0.2384 0.2998
0.2384 0.8999 0.2998
0.8999 0.5619 0.2998
0.1594 0.1594 0.5218
0.3999 0.3999 0.8002
0.6404 0.6404 0.0787
0.8999 0.8999 0.3004
```

density of states at the Fermi level	19.31	states/eV/cell
spin magnetization	0.0	μB/f.u.
energy of formation	0.22	eV per atom

2.
Compound: BiSN
Source: Alexandria via LeMat-Bulk
Functional: PBE
Structure: optimized geometry

Geometry as POSCAR:
```
BiSN
1.0
5.2219 0.0000 0.0000
0.0000 9.0172 -0.7903
0.0000 -0.5857 9.8002
N Bi S
4 4 4
Direct
0.5946 0.0098 0.9766
0.0946 0.4902 0.0234
0.4054 0.9902 0.0234
0.9054 0.5098 0.9766
0.8104 0.9299 0.5959
0.1896 0.0701 0.4041
0.6896 0.4299 0.5959
0.3104 0.5701 0.4041
0.5843 0.8151 0.3741
0.0843 0.6849 0.6259
0.9157 0.3151 0.3741
0.4157 0.1849 0.6259
```

formation energy without anion corrections	-0.1093	eV per atom
spin magnetization	0.0	μB/f.u.
energy above the most stable polymorph in this dataset	0	meV per atom

3.
Compound: Pa3Si3Ni
Source: Alexandria via LeMat-Bulk
Functional: PBE
Structure: optimized geometry

Geometry as POSCAR:
```
Pa3Si3Ni
1.0
-2.9170 -0.6920 -2.7826
1.5848 -3.8330 -3.7144
-5.4450 -10.6770 5.3568
Pa Si Ni
6 6 2
Direct
0.4214 0.2376 0.9196
0.7704 0.6877 0.7715
0.4668 0.6846 0.3818
0.5332 0.3154 0.6182
0.5786 0.7624 0.0804
0.2296 0.3123 0.2285
0.8592 0.2011 0.0804
0.0597 0.1171 0.7636
0.8567 0.7417 0.5449
0.1433 0.2583 0.4551
0.9403 0.8829 0.2364
0.1408 0.7989 0.9196
0.7554 0.0958 0.3934
0.2446 0.9042 0.6066
```

formation energy without anion corrections	-0.5645	eV per atom
density of states at the Fermi level	18.55	states/eV/cell
spin magnetization	0.0	μB/f.u.

4.
Compound: LaCd2GaAg2
Source: Alexandria via LeMat-Bulk
Functional: PBE
Structure: optimized geometry

Geometry as POSCAR:
```
LaCd2GaAg2
1.0
-2.3939 4.2712 2.0308
-4.6834 -1.8240 -1.6844
2.8295 -3.9752 4.7783
Ag Ga Cd La
2 1 2 1
Direct
0.2160 0.2160 0.4321
0.7840 0.7840 0.5679
0.0000 0.0000 0.0000
0.7500 0.2500 0.5000
0.2500 0.7500 0.5000
0.5000 0.5000 0.0000
```

density of states at the Fermi level	3.92	states/eV/cell
spin magnetization	0.0	μB/f.u.
energy of formation	0.06	eV per atom

Number 1: energy -0.33288 Ry per atom. Number 2: energy -0.40820 Ry per atom. Number 3: energy -0.57213 Ry per atom. Number 4: energy -0.18507 Ry per atom.